[1]
# SmLuPb2, relaxed, DFT GGA-PBE
# M_tot in μB/cell: 0.0
# Density of states at the Fermi level in states/eV per cell: 3.45
# Crystal system: tetragonal
# Energy of formation from the pure elements in meV per atom: -409
data_SmLuPb2
_chemical_formula_sum 'Sm1 Lu1 Pb2'
_space_group_name_H-M_alt 'P 4/m m m'
_space_group_IT_number 123
_space_group_name_Hall '-P 4 2'
_cell_length_a 3.546
_cell_length_b 3.546
_cell_length_c 8.972
_cell_angle_alpha 90.00
_cell_angle_beta 90.00
_cell_angle_gamma 90.00
loop_
_atom_site_label
_atom_site_type_symbol
_atom_site_fract_x
_atom_site_fract_y
_atom_site_fract_z
Sm1 Sm 0.000 0.000 0.000
Lu1 Lu 0.000 0.000 0.500
Pb1 Pb 0.500 0.500 0.259

***

[2]
# Pm5YTm3, relaxed, DFT GGA-PBE
# M_tot in μB/cell: 0.0
# Density of states at the Fermi level in states/eV per cell: 53.30
# Crystal system: tetragonal
# Energy of formation from the pure elements in meV per atom: 318
data_Pm5YTm3
_chemical_formula_sum 'Pm20 Y4 Tm12'
_space_group_name_H-M_alt 'I 4/m c m'
_space_group_IT_number 140
_space_group_name_Hall '-I 4 2c'
_cell_length_a 9.227
_cell_length_b 9.227
_cell_length_c 14.317
_cell_angle_alpha 90.00
_cell_angle_beta 90.00
_cell_angle_gamma 90.00
loop_
_atom_site_label
_atom_site_type_symbol
_atom_site_fract_x
_atom_site_fract_y
_atom_site_fract_z
Pm1 Pm 0.000 0.000 0.000
Pm2 Pm 0.202 0.298 0.131
Y1 Y 0.000 0.500 0.250
Tm1 Tm 0.000 0.000 0.250
Tm2 Tm 0.110 0.390 0.500

***

[3]
# Cs2Sn2Te4Pb, relaxed, DFT GGA-PBE
# M_tot in μB/cell: 0.0
# E_form (uncorrected) in eV/atom: -0.607
# Crystal system: monoclinic
data_Cs2Sn2Te4Pb
_chemical_formula_sum 'Cs4 Sn4 Te8 Pb2'
_space_group_name_H-M_alt 'C 1 2/m 1'
_space_group_IT_number 12
_cell_length_a 19.159
_cell_length_b 4.524
_cell_length_c 9.714
_cell_angle_alpha 90.00
_cell_angle_beta 117.15
_cell_angle_gamma 90.00
loop_
_space_group_symop_operation_xyz
'x,y,z'
'-x,-y,-z'
'-x,y,-z'
'x,-y,z'
'x+1/2,y+1/2,z'
'-x+1/2,-y+1/2,-z'
'-x+1/2,y+1/2,-z'
'x+1/2,-y+1/2,z'
loop_
_atom_site_label
_atom_site_type_symbol
_atom_site_fract_x
_atom_site_fract_y
_atom_site_fract_z
Cs1 Cs 0.119 0.000 0.050
Sn1 Sn 0.197 0.500 0.543
Te1 Te 0.039 0.500 0.295
Te2 Te 0.188 0.000 0.741
Pb1 Pb 0.000 0.000 0.500